Crystalline Dy2Tm6Th at its relaxed geometry, computed with PBE-GGA.

It has space group R3m (No. 160, hexagonal axes), with a = 6.8341 Å, b = 6.8341 Å, c = 23.1335 Å, α = 90.00°, β = 90.00° and γ = 120.00°. Symmetry generates all atoms from Dy at (0.0000, 0.0000, 0.0000), Dy at (0.0000, 0.0000, 0.1598), Tm at (0.0019, 0.5010, 0.9752), Tm at (0.1707, 0.3414, 0.5312) and Th at (0.0000, 0.0000, 0.7545).

The value obtained for the total magnetic moment is 0.00 Bohr magnetons per cell. The value obtained for the calculated formation energy is 431 meV/atom. As for the energy relative to the lowest polymorph listed for this composition: 371 meV/atom.